{
  "formula": "SbMo2Br",
  "functional": "GGA-PBEsol",
  "state": "relaxed",
  "lattice": [[3.119, -0.001, 0.000], [-1.519, 2.724, 0.000], [0.000, 0.000, 8.648]],
  "species": ["Mo", "Br", "Mo", "Sb"],
  "frac_coords": [[0.000, 0.000, 0.750], [0.500, 0.500, 0.000], [0.000, 0.000, 0.250], [0.500, 0.500, 0.500]],
  "e_form_raw_ev_per_atom": 0.80,
  "e_above_lowest_polymorph_ev_per_atom": 0.212,
  "total_energy_ev_per_cell": -26.750,
  "n_ef_per_ev_atom": 1.249
}

=====

{
  "formula": "FeCu2Te",
  "functional": "GGA-PBEsol",
  "state": "relaxed",
  "lattice": [[3.774, 0.000, 0.000], [0.000, 3.774, 0.000], [0.000, 0.000, 3.931]],
  "species": ["Te", "Cu", "Fe", "Cu"],
  "frac_coords": [[0.000, 0.000, 0.500], [0.000, 0.500, 0.000], [0.500, 0.500, 0.500], [0.500, 0.000, 0.000]],
  "e_form_raw_ev_per_atom": 0.28,
  "total_energy_ev_per_cell": -20.021,
  "n_ef_per_ev_atom": 0.962
}

=====

{
  "formula": "TlSiSb2",
  "functional": "GGA-PBEsol",
  "state": "relaxed",
  "lattice": [[3.763, 0.000, 0.000], [0.000, 5.052, 0.000], [0.000, 0.000, 5.052]],
  "species": ["Sb", "Tl", "Si", "Sb"],
  "frac_coords": [[0.000, 0.000, 0.500], [0.500, 0.000, 0.000], [0.500, 0.500, 0.500], [0.000, 0.500, 0.000]],
  "e_form_raw_ev_per_atom": 0.38,
  "e_above_lowest_polymorph_ev_per_atom": 0.145,
  "total_energy_ev_per_cell": -15.975,
  "n_ef_per_ev_atom": 0.572
}

=====

{
  "formula": "B2PtRh",
  "functional": "GGA-PBEsol",
  "state": "relaxed",
  "lattice": [[4.690, 0.000, 0.000], [0.000, 4.690, 0.000], [-2.345, -2.345, 4.684]],
  "species": ["Rh", "Pt", "B", "B", "Pt", "B", "Rh", "B"],
  "frac_coords": [[0.500, 0.500, 0.000], [0.250, 0.750, 0.500], [0.380, 0.875, 0.250], [0.125, 0.130, 0.750], [0.000, 0.000, 0.000], [0.625, 0.620, 0.750], [0.750, 0.250, 0.500], [0.870, 0.375, 0.250]],
  "formation_energy_mev_per_atom": 56,
  "total_energy_ev_per_cell": -57.818,
  "n_ef_per_ev_atom": 0.517
}

=====

{
  "formula": "Al2NiOs",
  "functional": "GGA-PBEsol",
  "state": "relaxed",
  "lattice": [[2.667, 0.500, 0.000], [-0.501, 2.667, 0.000], [0.000, 0.000, 7.363]],
  "species": ["Al", "Ni", "Al", "Os"],
  "frac_coords": [[0.500, 0.500, 0.716], [0.000, 0.000, 0.499], [0.000, 0.000, 0.019], [0.500, 0.500, 0.266]],
  "formation_energy_mev_per_atom": -80,
  "total_energy_ev_per_cell": -26.876,
  "n_ef_per_ev_atom": 1.084
}

=====

{
  "formula": "TiTeIrN2",
  "functional": "GGA-PBEsol",
  "state": "relaxed",
  "lattice": [[3.786, 0.000, 0.000], [0.000, 3.786, 0.000], [0.000, 0.000, 5.579]],
  "species": ["Te", "Ir", "Ti", "N", "N"],
  "frac_coords": [[0.500, 0.500, 0.500], [0.000, 0.000, 0.500], [0.000, 0.000, 0.000], [0.500, 0.000, 0.000], [0.000, 0.500, 0.000]],
  "e_form_raw_ev_per_atom": 0.64,
  "total_energy_ev_per_cell": -35.527,
  "n_ef_per_ev_atom": 0.831
}

=====

{
  "formula": "La3AsBr3",
  "functional": "GGA-PBEsol",
  "state": "relaxed",
  "lattice": [[10.393, 0.000, 0.000], [-3.464, 9.798, 0.000], [-3.464, -4.899, 8.485]],
  "species": ["Br", "La", "La", "As", "Br", "La", "Br", "La", "La", "La", "Br", "La", "La", "Br", "Br", "Br", "Br", "Br", "La", "As", "As", "Br", "La", "As", "Br", "La", "Br", "La"],
  "frac_coords": [[0.257, 0.013, 0.507], [0.508, 0.992, 0.750], [0.742, 0.758, 0.750], [0.750, 0.000, 0.000], [0.493, 0.487, 0.743], [0.758, 0.508, 0.016], [0.493, 0.007, 0.250], [0.250, 0.742, 0.258], [0.250, 0.508, 0.492], [0.992, 0.250, 0.008], [0.243, 0.493, 0.987], [0.508, 0.516, 0.258], [0.758, 0.250, 0.242], [0.013, 0.007, 0.757], [0.750, 0.493, 0.507], [0.007, 0.750, 0.993], [0.750, 0.257, 0.743], [0.257, 0.243, 0.250], [0.992, 0.742, 0.484], [0.750, 0.750, 0.250], [0.000, 0.500, 0.250], [0.487, 0.243, 0.993], [0.516, 0.758, 0.008], [0.500, 0.750, 0.500], [0.243, 0.750, 0.757], [0.984, 0.992, 0.242], [0.007, 0.257, 0.513], [0.742, 0.984, 0.492]],
  "e_form_raw_ev_per_atom": -1.70,
  "total_energy_ev_per_cell": -154.736,
  "n_ef_per_ev_atom": 0.459
}

=====

{
  "formula": "Li2CuNi",
  "functional": "GGA-PBEsol",
  "state": "relaxed",
  "lattice": [[-0.113, 0.216, 2.535], [1.631, -3.947, 0.408], [3.622, 2.229, -1.308]],
  "species": ["Cu", "Li", "Ni", "Li"],
  "frac_coords": [[0.500, 0.000, 0.000], [0.250, 0.255, 0.501], [0.000, 0.500, 0.000], [0.750, 0.745, 0.499]],
  "formation_energy_mev_per_atom": 22,
  "e_above_lowest_polymorph_ev_per_atom": 0.007,
  "total_energy_ev_per_cell": -14.338,
  "n_ef_per_ev_atom": 0.519
}

=====

{
  "formula": "IrPbO2",
  "functional": "GGA-PBEsol",
  "state": "relaxed",
  "lattice": [[-2.733, -0.610, -1.670], [-2.202, -2.092, 1.186], [-4.666, 4.055, 2.973]],
  "species": ["O", "O", "Pb", "Ir"],
  "frac_coords": [[0.124, 0.124, 0.628], [0.876, 0.876, 0.372], [0.000, 0.000, 0.000], [0.500, 0.500, 0.500]],
  "e_form_raw_ev_per_atom": -0.52,
  "total_energy_ev_per_cell": -26.387,
  "n_ef_per_ev_atom": 0.609
}

=====

{
  "formula": "SiTeAsN2",
  "functional": "GGA-PBEsol",
  "state": "relaxed",
  "lattice": [[-2.801, 0.731, -2.160], [-0.540, -3.537, -0.495], [-4.032, -0.111, 5.191]],
  "species": ["N", "N", "As", "Te", "Si"],
  "frac_coords": [[0.000, 0.500, 0.000], [0.500, 0.000, 0.000], [0.500, 0.500, 0.500], [0.000, 0.000, 0.500], [0.000, 0.000, 0.000]],
  "e_form_raw_ev_per_atom": 0.79,
  "total_energy_ev_per_cell": -27.497,
  "n_ef_per_ev_atom": 0.691
}

=====

{
  "formula": "LaRuRh2",
  "functional": "GGA-PBEsol",
  "state": "relaxed",
  "lattice": [[2.916, 0.000, 0.000], [0.000, 4.884, -0.012], [0.000, -1.536, 4.637]],
  "species": ["Rh", "La", "Ru", "Rh"],
  "frac_coords": [[0.000, 0.500, 0.000], [0.500, 0.500, 0.500], [0.500, 0.000, 0.000], [0.000, 0.000, 0.500]],
  "formation_energy_mev_per_atom": -7,
  "e_above_lowest_polymorph_ev_per_atom": 0.000,
  "total_energy_ev_per_cell": -31.822,
  "n_ef_per_ev_atom": 0.935
}

=====

{
  "formula": "Li2Ti3O7",
  "functional": "GGA-PBEsol",
  "state": "relaxed",
  "lattice": [[-2.938, 2.300, 0.404], [-0.097, -1.432, 7.447], [5.820, 7.359, 0.435]],
  "species": ["O", "O", "O", "Ti", "O", "O", "Li", "Ti", "Ti", "Li", "O", "Ti", "O", "O", "O", "O", "O", "O", "O", "Li", "Li", "O", "Ti", "Ti"],
  "frac_coords": [[0.250, 0.487, 0.632], [0.750, 0.649, 0.129], [0.250, 0.245, 0.159], [0.750, 0.948, 0.726], [0.750, 0.091, 0.945], [0.250, 0.178, 0.446], [0.250, 0.497, 0.195], [0.250, 0.160, 0.969], [0.750, 0.732, 0.340], [0.750, 0.503, 0.805], [0.250, 0.006, 0.752], [0.250, 0.268, 0.660], [0.750, 0.205, 0.659], [0.250, 0.909, 0.055], [0.250, 0.351, 0.871], [0.750, 0.513, 0.368], [0.750, 0.755, 0.841], [0.750, 0.994, 0.248], [0.250, 0.795, 0.341], [0.250, 0.700, 0.555], [0.750, 0.300, 0.445], [0.750, 0.822, 0.554], [0.750, 0.840, 0.031], [0.250, 0.052, 0.274]],
  "e_form_raw_ev_per_atom": -2.80,
  "total_energy_ev_per_cell": -198.557,
  "n_ef_per_ev_atom": 0.000
}